(1)
Y2TiB2 | PBE | relaxed

Calculated values
The energy relative to the elements is 0.368 eV/atom. The energy comes out at -6.467 eV/atom. As for the crystal system: tetragonal.

a b c (Å): 4.0536 4.0536 10.5996
angles (deg): 90.00 90.00 90.00
Element x y z (fractional)
Y (0.0000, 0.5000, 0.2500)
Y (0.0000, 0.5000, 0.7500)
Y (0.5000, 0.0000, 0.2500)
Y (0.5000, 0.0000, 0.7500)
Ti (0.0000, 0.0000, 0.0000)
Ti (0.5000, 0.5000, 0.5000)
B (0.0000, 0.0000, 0.4234)
B (0.0000, 0.0000, 0.5766)
B (0.5000, 0.5000, 0.0766)
B (0.5000, 0.5000, 0.9234)

(2)
YTi3B | PBE | relaxed

Calculated values
The energy relative to the elements is 0.033 eV/atom. The energy comes out at -7.332 eV/atom. As for the crystal system: cubic.

a b c (Å): 4.5001 4.5001 4.5001
angles (deg): 90.00 90.00 90.00
Element x y z (fractional)
Y (0.0000, 0.0000, 0.0000)
Ti (0.0000, 0.5000, 0.5000)
Ti (0.5000, 0.0000, 0.5000)
Ti (0.5000, 0.5000, 0.0000)
B (0.5000, 0.5000, 0.5000)

(3)
YTi3B | PBE | relaxed

Calculated values
The energy relative to the elements is 2.316 eV/atom. The energy comes out at -5.049 eV/atom. As for the crystal system: cubic.

a b c (Å): 4.7237 4.7237 4.7237
angles (deg): 90.00 90.00 90.00
Element x y z (fractional)
Y (0.0000, 0.0000, 0.0000)
Ti (0.0000, 0.0000, 0.5000)
Ti (0.0000, 0.5000, 0.0000)
Ti (0.5000, 0.0000, 0.0000)
B (0.5000, 0.5000, 0.5000)

(4)
Y2TiB2 | PBE | relaxed

Calculated values
The energy relative to the elements is -0.119 eV/atom. The energy comes out at -6.955 eV/atom. As for the crystal system: tetragonal.

a b c (Å): 6.5192 6.5192 3.9541
angles (deg): 90.00 90.00 90.00
Element x y z (fractional)
Y (0.1837, 0.3163, 0.0000)
Y (0.3163, 0.8163, 0.0000)
Y (0.6837, 0.1837, 0.0000)
Y (0.8163, 0.6837, 0.0000)
Ti (0.0000, 0.0000, 0.5000)
Ti (0.5000, 0.5000, 0.5000)
B (0.0951, 0.5951, 0.5000)
B (0.4049, 0.0951, 0.5000)
B (0.5951, 0.9049, 0.5000)
B (0.9049, 0.4049, 0.5000)

(5)
Ti3ZnB | PBE | relaxed

Calculated values
The energy relative to the elements is -0.230 eV/atom. The energy comes out at -6.557 eV/atom. As for the crystal system: cubic.

a b c (Å): 4.2637 4.2637 4.2637
angles (deg): 90.00 90.00 90.00
Element x y z (fractional)
Ti (0.0000, 0.0000, 0.5000)
Ti (0.0000, 0.5000, 0.0000)
Ti (0.5000, 0.0000, 0.0000)
Zn (0.5000, 0.5000, 0.5000)
B (0.0000, 0.0000, 0.0000)

(6)
TiZn2B | PBE | relaxed

Calculated values
The energy relative to the elements is 0.285 eV/atom. The energy comes out at -3.996 eV/atom. As for the crystal system: tetragonal.

a b c (Å): 3.4125 3.4125 18.7236
angles (deg): 90.00 90.00 90.00
Element x y z (fractional)
Ti (0.0000, 0.0000, 0.0000)
Ti (0.0000, 0.5000, 0.2500)
Ti (0.5000, 0.0000, 0.7500)
Ti (0.5000, 0.5000, 0.5000)
Zn (0.2405, 0.2500, 0.6250)
Zn (0.2500, 0.7405, 0.8750)
Zn (0.2500, 0.7595, 0.3750)
Zn (0.2595, 0.2500, 0.1250)
Zn (0.7405, 0.7500, 0.1250)
Zn (0.7500, 0.2405, 0.3750)
Zn (0.7500, 0.2595, 0.8750)
Zn (0.7595, 0.7500, 0.6250)
B (0.0000, 0.0000, 0.5000)
B (0.0000, 0.5000, 0.7500)
B (0.5000, 0.0000, 0.2500)
B (0.5000, 0.5000, 0.0000)

(7)
TiZnB2 | PBE | relaxed

Calculated values
The energy relative to the elements is 0.494 eV/atom. The energy comes out at -5.137 eV/atom. As for the crystal system: tetragonal.

a b c (Å): 3.6461 3.6461 14.2918
angles (deg): 90.00 90.00 90.00
Element x y z (fractional)
Ti (0.0000, 0.2500, 0.3750)
Ti (0.0000, 0.7500, 0.6250)
Ti (0.5000, 0.2500, 0.1250)
Ti (0.5000, 0.7500, 0.8750)
Zn (0.0000, 0.2500, 0.8750)
Zn (0.0000, 0.7500, 0.1250)
Zn (0.5000, 0.2500, 0.6250)
Zn (0.5000, 0.7500, 0.3750)
B (0.0000, 0.0000, 0.0000)
B (0.0000, 0.5000, 0.0000)
B (0.2500, 0.2500, 0.7500)
B (0.2500, 0.7500, 0.2500)
B (0.5000, 0.0000, 0.5000)
B (0.5000, 0.5000, 0.5000)
B (0.7500, 0.2500, 0.7500)
B (0.7500, 0.7500, 0.2500)

(8)
TiZn3B | PBE | relaxed

Calculated values
The energy relative to the elements is 0.418 eV/atom. The energy comes out at -3.261 eV/atom. As for the crystal system: cubic.

a b c (Å): 4.1332 4.1332 4.1332
angles (deg): 90.00 90.00 90.00
Element x y z (fractional)
Ti (0.0000, 0.0000, 0.0000)
Zn (0.0000, 0.5000, 0.5000)
Zn (0.5000, 0.0000, 0.5000)
Zn (0.5000, 0.5000, 0.0000)
B (0.5000, 0.5000, 0.5000)

(9)
TiZnB3 | PBE | relaxed

Calculated values
The energy relative to the elements is 1.588 eV/atom. The energy comes out at -4.252 eV/atom. As for the crystal system: cubic.

a b c (Å): 4.1353 4.1353 4.1353
angles (deg): 90.00 90.00 90.00
Element x y z (fractional)
Ti (0.0000, 0.0000, 0.0000)
Zn (0.5000, 0.5000, 0.5000)
B (0.0000, 0.0000, 0.5000)
B (0.0000, 0.5000, 0.0000)
B (0.5000, 0.0000, 0.0000)

(10)
TiZnB | PBE | relaxed

Calculated values
The energy relative to the elements is -0.327 eV/atom. The energy comes out at -5.609 eV/atom. As for the crystal system: orthorhombic.

a b c (Å): 3.1768 17.4390 2.9759
angles (deg): 90.00 90.00 90.00
Element x y z (fractional)
Ti (0.0000, 0.0720, 0.2500)
Ti (0.0000, 0.9280, 0.7500)
Ti (0.5000, 0.4280, 0.7500)
Ti (0.5000, 0.5720, 0.2500)
Zn (0.0000, 0.2065, 0.7500)
Zn (0.0000, 0.7935, 0.2500)
Zn (0.5000, 0.2935, 0.2500)
Zn (0.5000, 0.7065, 0.7500)
B (0.0000, 0.4768, 0.2500)
B (0.0000, 0.5232, 0.7500)
B (0.5000, 0.0232, 0.7500)
B (0.5000, 0.9768, 0.2500)

(11)
TiZnB3 | PBE | relaxed

Calculated values
The energy relative to the elements is 1.505 eV/atom. The energy comes out at -4.335 eV/atom. As for the crystal system: cubic.

a b c (Å): 3.9001 3.9001 3.9001
angles (deg): 90.00 90.00 90.00
Element x y z (fractional)
Ti (0.0000, 0.0000, 0.0000)
Zn (0.5000, 0.5000, 0.5000)
B (0.0000, 0.5000, 0.5000)
B (0.5000, 0.0000, 0.5000)
B (0.5000, 0.5000, 0.0000)

(12)
TiZn3B | PBE | relaxed

Calculated values
The energy relative to the elements is 1.737 eV/atom. The energy comes out at -1.942 eV/atom. As for the crystal system: cubic.

a b c (Å): 5.0238 5.0238 5.0238
angles (deg): 90.00 90.00 90.00
Element x y z (fractional)
Ti (0.0000, 0.0000, 0.0000)
Zn (0.0000, 0.0000, 0.5000)
Zn (0.0000, 0.5000, 0.0000)
Zn (0.5000, 0.0000, 0.0000)
B (0.5000, 0.5000, 0.5000)